1.
YErIn2Pd4: optimized geometry, PBE.

Results
The value obtained for the total energy is -43.80 eV per formula unit.

Cell lengths 4.5842, 4.5842, 8.9051 Å; angles 90.00, 90.00, 120.00 degrees
With the nearest neighbours (Å) after each atom.
Sites, in units of the cell vectors:
In1 0.6667 0.3333 0.7513  6 Pd 2.75-2.76
In2 0.6667 0.3333 0.2487  6 Pd 2.75-2.76
Er1 0.0000 0.0000 0.0000  8 Pd 2.98-3.01
Pd1 0.3333 0.6667 0.1616  3 In 2.76, 4 Pd 2.88-3.06, 3 Er 3.01, 1 Y 3.01
Pd2 0.3333 0.6667 0.8384  3 In 2.76, 4 Pd 2.88-3.06, 3 Er 3.01, 1 Y 3.01
Pd3 0.0000 0.0000 0.3346  3 In 2.75, 4 Pd 2.95-3.06, 1 Er 2.98, 3 Y 3.03
Pd4 0.0000 0.0000 0.6654  3 In 2.75, 4 Pd 2.95-3.06, 1 Er 2.98, 3 Y 3.03
Y1 0.3333 0.6667 0.5000  8 Pd 3.01-3.03

=====

2.
YEr2In3Pd3: optimized geometry, PBE.

Results
The value obtained for the total energy is -46.73 eV per formula unit.

Cell lengths 3.8156, 7.7041, 7.7041 Å; angles 120.27, 90.00, 90.00 degrees
With the nearest neighbours (Å) after each atom.
Sites, in units of the cell vectors:
Pd1 0.5000 0.3324 0.6701  3 In 2.87-2.90, 4 Er 3.00, 2 Y 3.04
Pd2 0.0000 0.9980 0.9980  6 In 2.75-2.77
Pd3 0.5000 0.6701 0.3324  3 In 2.87-2.90, 4 Er 3.00, 2 Y 3.04
In1 0.5000 0.7393 0.7393  4 Pd 2.75-2.90
In2 0.5000 0.0003 0.2600  4 Pd 2.77-2.89
In3 0.5000 0.2600 0.0003  4 Pd 2.77-2.89
Er1 0.0000 0.0000 0.5922  5 Pd 3.00-3.13, 6 In 3.19-3.35
Er2 0.0000 0.5922 0.0000  5 Pd 3.00-3.13, 6 In 3.19-3.35
Y1 0.0000 0.4077 0.4077  5 Pd 3.04-3.14, 6 In 3.18-3.34

=====

3.
Y2ErIn3Pd3: optimized geometry, PBE.

Results
The value obtained for the total energy is -48.66 eV per formula unit.

Cell lengths 3.8363, 7.6917, 7.6917 Å; angles 119.70, 90.00, 90.00 degrees
With the nearest neighbours (Å) after each atom.
Sites, in units of the cell vectors:
Y1 0.0000 0.0000 0.4081  5 Pd 3.03-3.15, 6 In 3.19-3.36
Y2 0.0000 0.4081 0.0000  5 Pd 3.03-3.15, 6 In 3.19-3.36
In1 0.5000 0.0008 0.7405  4 Pd 2.76-2.92
In2 0.5000 0.7405 0.0008  4 Pd 2.76-2.92
In3 0.5000 0.2583 0.2583  4 Pd 2.78-2.88
Pd1 0.0000 0.9974 0.9974  6 In 2.76-2.78
Pd2 0.5000 0.3375 0.6656  3 In 2.88-2.92, 2 Er 2.99, 4 Y 3.03-3.04
Pd3 0.5000 0.6656 0.3375  3 In 2.88-2.92, 2 Er 2.99, 4 Y 3.03-3.04
Er1 0.0000 0.5918 0.5918  5 Pd 2.99-3.13, 2 In 3.21

=====

4.
ErZrIn2Pd4: optimized geometry, PBE.

Results
The value obtained for the total energy is -45.09 eV per formula unit.

Cell lengths 4.5557, 4.5557, 8.6806 Å; angles 90.00, 90.00, 120.00 degrees
With the nearest neighbours (Å) after each atom.
Sites, in units of the cell vectors:
In1 0.6667 0.3333 0.2608  6 Pd 2.72-2.75
In2 0.6667 0.3333 0.7392  6 Pd 2.72-2.75
Zr1 0.3333 0.6667 0.5000  8 Pd 2.89-2.96
Pd1 0.3333 0.6667 0.1669  3 In 2.75, 1 Zr 2.89, 4 Pd 2.90-3.04, 3 Er 3.00
Pd2 0.0000 0.0000 0.6576  3 In 2.72, 4 Pd 2.74-3.04, 3 Zr 2.96, 1 Er 2.97
Pd3 0.0000 0.0000 0.3424  3 In 2.72, 4 Pd 2.74-3.04, 3 Zr 2.96, 1 Er 2.97
Pd4 0.3333 0.6667 0.8331  3 In 2.75, 1 Zr 2.89, 4 Pd 2.90-3.04, 3 Er 3.00
Er1 0.0000 0.0000 0.0000  8 Pd 2.97-3.00

=====

5.
PmErIn2: optimized geometry, PBE.

Results
The value obtained for the total energy is -16.67 eV per formula unit.

Cell lengths 3.7837, 3.7837, 7.5562 Å; angles 90.00, 90.00, 90.00 degrees
With the nearest neighbours (Å) after each atom.
Sites, in units of the cell vectors:
In1 0.5000 0.5000 0.7625  4 Er 3.22, 4 Pm 3.33, 1 In 3.59
In2 0.5000 0.5000 0.2375  4 Er 3.22, 4 Pm 3.33, 1 In 3.59
Pm1 0.0000 0.0000 0.5000  8 In 3.33
Er1 0.0000 0.0000 0.0000  8 In 3.22

=====

6.
PmErIn: optimized geometry, PBE.

Results
The value obtained for the total energy is -12.32 eV per formula unit. The energy above the lowest structure with this stoichiometry comes out at 0.000 eV/atom.

Cell lengths 5.2191, 5.2191, 5.2191 Å; angles 60.00, 60.00, 60.00 degrees
With the nearest neighbours (Å) after each atom.
Sites, in units of the cell vectors:
In1 0.0000 0.0000 0.0000  4 Pm 3.20, 4 Er 3.20
Er1 0.2500 0.2500 0.2500  4 In 3.20
Pm1 0.7500 0.7500 0.7500  4 In 3.20

=====

7.
Er2In8Pt: optimized geometry, PBE.

Results
The value obtained for the total energy is -41.43 eV per formula unit.

Cell lengths 4.6675, 4.6675, 12.0461 Å; angles 90.00, 90.00, 90.00 degrees
With the nearest neighbours (Å) after each atom.
Sites, in units of the cell vectors:
In1 0.5000 0.5000 0.6905  8 In 3.20-3.27, 4 Er 3.30
In2 0.5000 0.5000 0.3095  8 In 3.20-3.27, 4 Er 3.30
In3 0.0000 0.5000 0.8721  2 Pt 2.80, 1 In 3.08
In4 0.5000 0.0000 0.5000  4 Er 3.25, 8 In 3.27-3.30
In5 0.5000 0.0000 0.8721  2 Pt 2.80, 1 In 3.08
In6 0.0000 0.5000 0.1279  2 Pt 2.80, 1 In 3.08
In7 0.0000 0.5000 0.5000  4 Er 3.25, 8 In 3.27-3.30
In8 0.5000 0.0000 0.1279  2 Pt 2.80, 1 In 3.08
Pt1 0.0000 0.0000 0.0000  8 In 2.80
Er1 0.0000 0.0000 0.3122  12 In 3.22-3.30
Er2 0.0000 0.0000 0.6878  12 In 3.22-3.30

=====

8.
SmErIn2Pt4: optimized geometry, PBE.

Results
The value obtained for the total energy is -46.61 eV per formula unit.

Cell lengths 4.5929, 4.5929, 9.0737 Å; angles 90.00, 90.00, 120.00 degrees
With the nearest neighbours (Å) after each atom.
Sites, in units of the cell vectors:
In1 0.3333 0.6667 0.2465  6 Pt 2.78
In2 0.3333 0.6667 0.7535  6 Pt 2.78
Pt1 0.0000 0.0000 0.3367  3 In 2.78, 1 Pt 2.96, 3 Sm 3.04, 1 Er 3.06
Pt2 0.6667 0.3333 0.1555  3 In 2.78, 1 Pt 2.82, 3 Er 3.00
Pt3 0.6667 0.3333 0.8445  3 In 2.78, 1 Pt 2.82, 3 Er 3.00
Pt4 0.0000 0.0000 0.6633  3 In 2.78, 1 Pt 2.96, 3 Sm 3.04, 1 Er 3.06
Sm1 0.6667 0.3333 0.5000  8 Pt 3.04-3.13
Er1 0.0000 0.0000 0.0000  8 Pt 3.00-3.06